Density functional theory data (GGA+U) for a relaxed ScMnOF2 crystal.

Lattice parameters (Å, degrees): 4.072 4.072 4.130 90.00 90.00 90.00
Fractional positions:
Sc1 0.000 0.000 0.000
Mn1 0.500 0.500 0.500
O1 0.500 0.500 0.000
F1 0.000 0.500 0.500
F2 0.500 0.000 0.500

Values from the calculation:
Mass density   3.73 g cm⁻³
Energy relative to the lowest polymorph listed for this composition   495.1 meV/atom
Uncorrected energy   -32.4 eV for the cell shown